An optimized crystal structure of Sc3InAu, computed with PBE.

The structure in extended XYZ format:
```
5
Lattice="-2.414 3.213 3.247 -3.846 0.553 -3.406 -2.466 -4.008 2.133" Properties=species:S:1:pos:R:3 pbc="T T T"
Sc -1.923 0.276 -1.703
Sc -1.233 -2.004 1.067
Sc -1.207 1.607 1.623
Au 0.000 0.000 0.000
In -4.363 -0.121 0.987
```

Summary:
- Crystal system: cubic
- ΔE_f: -0.067 eV/atom
- Space-group type: Pm-3m, No. 221
- Excess energy over the best structure of this formula in the dataset: 0 meV per atom